(1)
Computed, not measured: Ba3SmTa2O9 after structural relaxation at the PBE-GGA level of DFT.

The structure belongs to space group P-3m1 (No. 164); the cell edges are 6.0063, 6.0063 and 7.4082 Å and the angles 90.00°, 90.00° and 120.00°. The inequivalent atoms are Ba at (0.0000, 0.0000, 0.0000), Ba at (0.3333, 0.6667, 0.6728), Sm at (0.0000, 0.0000, 0.5000), Ta at (0.3333, 0.6667, 0.1606), O at (0.0000, 0.5000, 0.0000) and O at (0.1771, 0.3541, 0.3136).

The value obtained for the total magnetization is 0.00 Bohr magnetons per cell. Its uncorrected formation energy is -3007 meV/atom.

---

(2)
Computed, not measured: BaTb4SmO12 after structural relaxation at the PBE-GGA level of DFT.

The structure belongs to space group Amm2 (No. 38); the cell edges are 8.785, 9.064 and 8.476 Å and the angles 90.00°, 90.00° and 90.00°. The inequivalent atoms are Ba at (0.000, 0.000, 0.000), Tb at (0.264, 0.226, 0.674), Sm at (0.500, 0.000, 0.366), O at (0.000, 0.215, 0.722), O at (0.205, 0.204, 0.926), O at (0.257, 0.000, 0.210), O at (0.336, 0.000, 0.585) and O at (0.500, 0.212, 0.230).

The value obtained for the total magnetization is 14.00 Bohr magnetons per cell. Its uncorrected formation energy is -2290 meV/atom.

---

(3)
Computed, not measured: Ba2SmTc3O12 after structural relaxation at the PBE-GGA level of DFT.

The structure belongs to space group R-3m (No. 166, hexagonal axes); the cell edges are 7.4386, 7.4386 and 16.3122 Å and the angles 90.00°, 90.00° and 120.00°. The inequivalent atoms are Ba at (0.0000, 0.0000, 0.1146), Sm at (0.0000, 0.0000, 0.5000), Tc at (0.0000, 0.5000, 0.0000), O at (0.0245, 0.5123, 0.8848) and O at (0.0808, 0.5404, 0.3221).

The value obtained for the total magnetization is 0.18 Bohr magnetons per cell. Its uncorrected formation energy is -1967 meV/atom.

---

(4)
Computed, not measured: Ba2SmTcO6 after structural relaxation at the PBE-GGA level of DFT.

The structure belongs to space group R-3m (No. 166, hexagonal axes); the cell edges are 6.1072, 6.1072 and 30.7180 Å and the angles 90.00°, 90.00° and 120.00°. The inequivalent atoms are Ba at (0.0000, 0.0000, 0.1368), Ba at (0.0000, 0.0000, 0.2787), Sm at (0.0000, 0.0000, 0.4054), Tc at (0.0000, 0.0000, 0.0000), Tc at (0.0000, 0.0000, 0.5000), O at (0.0219, 0.5110, 0.1284) and O at (0.0318, 0.5159, 0.7036).

The value obtained for the total magnetization is 12.01 Bohr magnetons per cell. Its uncorrected formation energy is -2422 meV/atom.